KLi2HgP after structural relaxation, computed with PBE.

It has space group P4/mmm (No. 123), with a = 4.857 Å, b = 4.857 Å, c = 6.264 Å, α = 90.00°, β = 90.00° and γ = 90.00°. Symmetry generates all atoms from K at (0.000, 0.000, 0.000), Li at (0.000, 0.500, 0.500), Hg at (0.500, 0.500, 0.000) and P at (0.000, 0.000, 0.500).

***

KLiHg2Pb after structural relaxation, computed with PBE.

Its excess energy over the best structure of this formula in the dataset is 0.43 eV per formula unit.

It has space group P4/mmm (No. 123), with a = 5.299 Å, b = 5.299 Å, c = 5.223 Å, α = 90.00°, β = 90.00° and γ = 90.00°. Symmetry generates all atoms from K at (0.000, 0.000, 0.000), Li at (0.500, 0.500, 0.500), Hg at (0.000, 0.500, 0.500) and Pb at (0.500, 0.500, 0.000).

***

KLiHg2Pb after structural relaxation, computed with PBE.

Its excess energy over the best structure of this formula in the dataset is 0.74 eV per formula unit.

It has space group P4/mmm (No. 123), with a = 6.026 Å, b = 6.026 Å, c = 5.356 Å, α = 90.00°, β = 90.00° and γ = 90.00°. Symmetry generates all atoms from K at (0.000, 0.000, 0.000), Li at (0.500, 0.500, 0.000), Hg at (0.000, 0.500, 0.500) and Pb at (0.500, 0.500, 0.500).

***

KLiHgPb2 after structural relaxation, computed with PBE.

It has space group P4/mmm (No. 123), with a = 5.290 Å, b = 5.290 Å, c = 5.394 Å, α = 90.00°, β = 90.00° and γ = 90.00°. Symmetry generates all atoms from K at (0.000, 0.000, 0.000), Li at (0.500, 0.500, 0.500), Hg at (0.500, 0.500, 0.000) and Pb at (0.000, 0.500, 0.500).

***

no.,formation energy (meV per atom)
1,-321.7
2,-111.4
3,-49.4
4,-58.5